Record 1
PBE-GGA HfNpPaTc, optimized geometry; E_tot = -0.7762 Ry per atom; energy of formation = 0.51 eV/f.u.; space-group type = F-43m (216); crystal system = cubic; M_tot = 1.061 μB per atom
1.0
0.0000 3.4279 3.4279
3.4279 0.0000 3.4279
3.4279 3.4279 0.0000
Hf Np Pa Tc
1 1 1 1
direct
0.0000 0.0000 0.0000
0.7500 0.7500 0.7500
0.5000 0.5000 0.5000
0.2500 0.2500 0.2500

=====

Record 2
PBE-GGA Pm3TeO4, optimized geometry; E_tot = -0.5561 Ry per atom; energy relative to the elements, uncorrected = -2.913 eV/atom; space-group type = P4/mmm (123); crystal system = tetragonal; M_tot = 0.000 μB per atom
1.0
3.9985 0.0000 0.0000
0.0000 3.9985 0.0000
0.0000 0.0000 9.8415
Pm Te O
3 1 4
direct
0.0000 0.0000 0.0000
0.5000 0.5000 0.2527
0.5000 0.5000 0.7473
0.0000 0.0000 0.5000
0.0000 0.5000 0.1469
0.0000 0.5000 0.8531
0.5000 0.0000 0.1469
0.5000 0.0000 0.8531

=====

Record 3
PBE-GGA PmY2SnN4, optimized geometry; E_tot = -0.5690 Ry per atom; energy relative to the elements, uncorrected = -0.869 eV/atom; space-group type = Cmcm (63); crystal system = orthorhombic; M_tot = 0.000 μB per atom
1.0
1.7658 -5.9086 0.0000
1.7658 5.9086 0.0000
0.0000 0.0000 12.1477
Pm Y Sn N
2 4 2 8
direct
0.1233 0.8767 0.7500
0.8767 0.1233 0.2500
0.3706 0.6294 0.5335
0.3706 0.6294 0.9665
0.6294 0.3706 0.0335
0.6294 0.3706 0.4665
0.1413 0.8587 0.2500
0.8587 0.1413 0.7500
0.0000 0.0000 0.0000
0.0000 0.0000 0.5000
0.2631 0.7369 0.1224
0.2631 0.7369 0.3776
0.4597 0.5403 0.7500
0.5403 0.4597 0.2500
0.7369 0.2631 0.6224
0.7369 0.2631 0.8776

=====

Record 4
PBE-GGA Sr2ScAs, optimized geometry; E_tot = -0.2735 Ry per atom; energy of formation = -0.54 eV/f.u.; space-group type = I4/mmm (139); crystal system = tetragonal; M_tot = 0.000 μB per atom
1.0
-2.3217 2.3217 5.4674
2.3217 -2.3217 5.4674
2.3217 2.3217 -5.4674
Sr Sc As
2 1 1
direct
0.2500 0.7500 0.5000
0.7500 0.2500 0.5000
0.0000 0.0000 0.0000
0.5000 0.5000 0.0000